<w>
## LaTbScZn (PBE)

Data for a relaxed structure of LaTbScZn.

Summary:
The space group is F-43m. The size of the total moment comes out at 0.0 μB per cell.

abc: 5.332 5.332 5.332
angles: 60.00 60.00 60.00
Fractional coordinates of all 4 atoms:
1 Sc 0.500 0.500 0.500
2 Zn 0.000 0.000 0.000
3 Tb 0.750 0.750 0.750
4 La 0.250 0.250 0.250



<x>
## LaTbScZn (PBE)

Data for a relaxed structure of LaTbScZn.

Summary:
The space group is P4mm. The size of the total moment comes out at 0.0 μB per cell.

abc: 3.518 3.518 8.604
angles: 90.00 90.00 90.00
Fractional coordinates of all 4 atoms:
1 La 0.000 0.000 0.088
2 Tb 0.500 0.500 0.770
3 Sc 0.500 0.500 0.377
4 Zn 0.000 0.000 0.549



Of them, <x> has the highest stability.



<w>
## LaTbZrSc (PBE)

Data for a relaxed structure of LaTbZrSc.

Summary:
The space group is F-43m. The size of the total moment comes out at 0.2 μB per cell.

abc: 5.421 5.421 5.421
angles: 60.00 60.00 60.00
Fractional coordinates of all 4 atoms:
1 Sc 0.000 0.000 0.000
2 Tb 0.250 0.250 0.250
3 Zr 0.500 0.500 0.500
4 La 0.750 0.750 0.750



<x>
## LaTbZrSc (PBE)

Data for a relaxed structure of LaTbZrSc.

Summary:
The space group is F-43m. The size of the total moment comes out at 0.0 μB per cell.

abc: 5.430 5.430 5.430
angles: 60.00 60.00 60.00
Fractional coordinates of all 4 atoms:
1 Sc 0.000 0.000 0.000
2 Tb 0.500 0.500 0.500
3 Zr 0.250 0.250 0.250
4 La 0.750 0.750 0.750



Of them, <w> has the highest stability.



<w>
## LaScTc2 (PBE)

Data for a relaxed structure of LaScTc2.

Summary:
The space group is Imm2. The size of the total moment comes out at 0.0 μB per cell.

abc: 5.861 5.861 5.861
angles: 146.85 131.47 60.04
Fractional coordinates of all 4 atoms:
1 La 0.515 0.515 0.000
2 Sc 0.241 0.741 0.500
3 Tc 0.967 0.967 0.000
4 Tc 0.777 0.277 0.500



<x>
## LaScTc2 (PBE)

Data for a relaxed structure of LaScTc2.

Summary:
The space group is I-4m2. The size of the total moment comes out at 0.0 μB per cell.

abc: 5.745 5.745 5.745
angles: 139.85 139.85 58.07
Fractional coordinates of all 4 atoms:
1 La 0.500 0.500 0.000
2 Sc 0.750 0.250 0.500
3 Tc 0.000 0.000 0.000
4 Tc 0.250 0.750 0.500



Of them, <w> has the highest stability.



<w>
## LaScTc2 (PBE)

Data for a relaxed structure of LaScTc2.

Summary:
The space group is P4/mmm. The size of the total moment comes out at 0.0 μB per cell.

abc: 3.390 3.390 6.666
angles: 90.00 90.00 90.00
Fractional coordinates of all 4 atoms:
1 La 0.500 0.500 0.250
2 Sc 0.500 0.500 0.750
3 Tc 0.000 0.000 0.990
4 Tc 0.000 0.000 0.510



<x>
## LaScTc2 (PBE)

Data for a relaxed structure of LaScTc2.

Summary:
The space group is R-3m. The size of the total moment comes out at 0.0 μB per cell.

abc: 8.655 8.655 8.655
angles: 21.82 21.82 21.82
Fractional coordinates of all 4 atoms:
1 La 0.250 0.250 0.250
2 Sc 0.750 0.750 0.750
3 Tc 0.001 0.001 0.001
4 Tc 0.499 0.499 0.499



<y>
## LaScTc2 (PBE)

Data for a relaxed structure of LaScTc2.

Summary:
The space group is Pmmm. The size of the total moment comes out at 0.0 μB per cell.

abc: 3.387 5.175 4.412
angles: 90.00 90.00 90.00
Fractional coordinates of all 4 atoms:
1 La 0.500 0.000 0.500
2 Sc 0.000 0.500 0.500
3 Tc 0.000 0.000 0.000
4 Tc 0.500 0.500 0.000



Of them, <w> has the highest stability.



<w>
## LaScTc2 (PBE)

Data for a relaxed structure of LaScTc2.

Summary:
The space group is R3m. The size of the total moment comes out at 0.0 μB per cell.

abc: 10.017 10.017 10.017
angles: 17.90 17.90 17.90
Fractional coordinates of all 4 atoms:
1 La 0.510 0.510 0.510
2 Sc 0.733 0.733 0.733
3 Tc 0.993 0.993 0.993
4 Tc 0.265 0.265 0.265



<x>
## LaScTc2 (PBE)

Data for a relaxed structure of LaScTc2.

Summary:
The space group is Cmmm. The size of the total moment comes out at 0.0 μB per cell.

abc: 3.057 3.057 8.911
angles: 90.00 90.00 113.55
Fractional coordinates of all 4 atoms:
1 La 0.500 0.500 0.250
2 Sc 0.500 0.500 0.750
3 Tc 0.000 0.000 0.989
4 Tc 0.000 0.000 0.511



Of them, <x> has the highest stability.



<w>
## LaScTc2 (PBE)

Data for a relaxed structure of LaScTc2.

Summary:
The space group is C2/m. The size of the total moment comes out at 0.0 μB per cell.

abc: 5.636 5.410 3.053
angles: 76.14 85.31 119.86
Fractional coordinates of all 4 atoms:
1 La 0.000 0.500 0.500
2 Sc 0.500 0.500 0.000
3 Tc 0.000 0.000 0.000
4 Tc 0.500 0.000 0.500



<x>
## LaScTc2 (PBE)

Data for a relaxed structure of LaScTc2.

Summary:
The space group is Pm. The size of the total moment comes out at 0.0 μB per cell.

abc: 4.155 3.261 6.735
angles: 74.91 90.00 90.00
Fractional coordinates of all 4 atoms:
1 La 0.000 0.488 0.461
2 Sc 0.500 0.770 0.826
3 Tc 0.000 0.047 0.030
4 Tc 0.500 0.195 0.183



<y>
## LaScTc2 (PBE)

Data for a relaxed structure of LaScTc2.

Summary:
The space group is I-42d. The size of the total moment comes out at 0.0 μB per cell.

abc: 7.483 7.483 6.038
angles: 51.71 51.71 90.00
Fractional coordinates of all 8 atoms:
1 Sc 0.500 0.500 0.000
2 Sc 0.250 0.750 0.500
3 Tc 0.614 0.125 0.250
4 Tc 0.136 0.625 0.250
5 Tc 0.375 0.386 0.750
6 Tc 0.875 0.864 0.750
7 La 0.000 0.000 0.000
8 La 0.750 0.250 0.500



<z>
## LaScTc2 (PBE)

Data for a relaxed structure of LaScTc2.

Summary:
The space group is Pmm2. The size of the total moment comes out at 0.0 μB per cell.

abc: 3.202 4.136 6.277
angles: 90.00 90.00 90.00
Fractional coordinates of all 4 atoms:
1 La 0.000 0.000 0.451
2 Sc 0.500 0.500 0.819
3 Tc 0.000 0.000 0.033
4 Tc 0.500 0.500 0.198



Of them, <x> has the highest stability.



<w>
## LaScTc2 (PBE)

Data for a relaxed structure of LaScTc2.

Summary:
The space group is P2/m. The size of the total moment comes out at 0.0 μB per cell.

abc: 4.455 3.073 5.593
angles: 82.97 90.00 90.00
Fractional coordinates of all 4 atoms:
1 La 0.500 0.250 0.250
2 Sc 0.500 0.750 0.750
3 Tc 0.000 0.035 0.005
4 Tc 0.000 0.465 0.495



<x>
## LaScTc2 (PBE)

Data for a relaxed structure of LaScTc2.

Summary:
The space group is C2/m. The size of the total moment comes out at 0.0 μB per cell.

abc: 5.136 5.136 5.683
angles: 69.86 69.86 43.57
Fractional coordinates of all 4 atoms:
1 La 0.750 0.750 0.750
2 Sc 0.250 0.250 0.250
3 Tc 0.002 0.002 0.118
4 Tc 0.498 0.498 0.382



Of them, <x> has the highest stability.



<w>
## LaScTc2 (PBE)

Data for a relaxed structure of LaScTc2.

Summary:
The space group is F-43m. The size of the total moment comes out at 0.0 μB per cell.

abc: 4.756 4.756 4.756
angles: 60.00 60.00 60.00
Fractional coordinates of all 4 atoms:
1 La 0.500 0.500 0.500
2 Sc 0.750 0.750 0.750
3 Tc 0.000 0.000 0.000
4 Tc 0.250 0.250 0.250



<x>
## LaScTc2 (PBE)

Data for a relaxed structure of LaScTc2.

Summary:
The space group is P4mm. The size of the total moment comes out at 0.0 μB per cell.

abc: 3.132 3.132 8.617
angles: 90.00 90.00 90.01
Fractional coordinates of all 4 atoms:
1 La 0.000 0.000 0.456
2 Sc 0.500 0.500 0.821
3 Tc 0.000 0.000 0.031
4 Tc 0.500 0.500 0.192



Of them, <x> has the highest stability.



<w>
## LaSc2Tc (PBE)

Data for a relaxed structure of LaSc2Tc.

Summary:
The space group is I-4m2. The size of the total moment comes out at 0.0 μB per cell.

abc: 5.013 5.013 5.013
angles: 120.20 120.20 89.66
Fractional coordinates of all 4 atoms:
1 La 0.750 0.250 0.500
2 Sc 0.000 0.000 0.000
3 Sc 0.250 0.750 0.500
4 Tc 0.500 0.500 0.000



<x>
## LaSc2Tc (PBE)

Data for a relaxed structure of LaSc2Tc.

Summary:
The space group is R-3m. The size of the total moment comes out at 0.0 μB per cell.

abc: 10.135 10.135 10.135
angles: 18.80 18.80 18.80
Fractional coordinates of all 4 atoms:
1 La 0.750 0.750 0.750
2 Sc 0.981 0.981 0.981
3 Sc 0.519 0.519 0.519
4 Tc 0.250 0.250 0.250



<y>
## LaSc2Tc (PBE)

Data for a relaxed structure of LaSc2Tc.

Summary:
The space group is R-3m. The size of the total moment comes out at 0.0 μB per cell.

abc: 10.624 10.624 10.624
angles: 17.64 17.64 17.64
Fractional coordinates of all 4 atoms:
1 Sc 0.894 0.894 0.894
2 Sc 0.106 0.106 0.106
3 Tc 0.500 0.500 0.500
4 La 0.000 0.000 0.000



<z>
## LaSc2Tc (PBE)

Data for a relaxed structure of LaSc2Tc.

Summary:
The space group is P4mm. The size of the total moment comes out at 0.0 μB per cell.

abc: 3.594 3.594 7.397
angles: 90.00 90.00 90.00
Fractional coordinates of all 4 atoms:
1 La 0.500 0.500 0.712
2 Sc 0.000 0.000 0.054
3 Sc 0.500 0.500 0.289
4 Tc 0.000 0.000 0.445



Of them, <z> has the highest stability.



<w>
## LaSc2Tc (PBE)

Data for a relaxed structure of LaSc2Tc.

Summary:
The space group is Cmmm. The size of the total moment comes out at 0.0 μB per cell.

abc: 5.013 5.013 3.602
angles: 90.00 90.00 104.83
Fractional coordinates of all 4 atoms:
1 La 0.000 0.500 0.500
2 Sc 0.000 0.000 0.000
3 Sc 0.500 0.500 0.000
4 Tc 0.500 0.000 0.500



<x>
## LaSc2Tc (PBE)

Data for a relaxed structure of LaSc2Tc.

Summary:
The space group is P4/mmm. The size of the total moment comes out at 0.1 μB per cell.

abc: 4.962 4.253 4.253
angles: 90.00 90.00 90.00
Fractional coordinates of all 4 atoms:
1 La 0.500 0.000 0.500
2 Sc 0.000 0.000 0.000
3 Sc 0.000 0.500 0.500
4 Tc 0.500 0.500 0.000



<y>
## LaSc2Tc (PBE)

Data for a relaxed structure of LaSc2Tc.

Summary:
The space group is P2/m. The size of the total moment comes out at 0.0 μB per cell.

abc: 4.571 3.342 6.198
angles: 73.93 90.00 90.00
Fractional coordinates of all 4 atoms:
1 La 0.500 0.750 0.750
2 Sc 0.000 0.084 0.042
3 Sc 0.000 0.416 0.458
4 Tc 0.500 0.250 0.250



<z>
## LaSc2Tc (PBE)

Data for a relaxed structure of LaSc2Tc.

Summary:
The space group is Cmmm. The size of the total moment comes out at 0.0 μB per cell.

abc: 3.306 3.306 8.798
angles: 90.00 90.00 90.14
Fractional coordinates of all 4 atoms:
1 Sc 0.000 0.000 0.077
2 Sc 0.000 0.000 0.423
3 Tc 0.500 0.500 0.250
4 La 0.500 0.500 0.750



Of them, <z> has the highest stability.



<w>
## LaSc2Tc (PBE)

Data for a relaxed structure of LaSc2Tc.

Summary:
The space group is Cm. The size of the total moment comes out at 0.0 μB per cell.

abc: 5.945 5.945 5.191
angles: 65.33 65.33 34.55
Fractional coordinates of all 4 atoms:
1 La 0.207 0.207 0.280
2 Sc 0.998 0.998 0.991
3 Sc 0.801 0.801 0.687
4 Tc 0.494 0.494 0.541



<x>
## LaSc2Tc (PBE)

Data for a relaxed structure of LaSc2Tc.

Summary:
The space group is Immm. The size of the total moment comes out at 0.0 μB per cell.

abc: 6.129 6.129 6.129
angles: 147.00 129.41 61.74
Fractional coordinates of all 4 atoms:
1 La 0.250 0.750 0.500
2 Sc 0.950 0.950 0.000
3 Sc 0.550 0.550 0.000
4 Tc 0.750 0.250 0.500



<y>
## LaSc2Tc (PBE)

Data for a relaxed structure of LaSc2Tc.

Summary:
The space group is Fm-3m. The size of the total moment comes out at 0.0 μB per cell.

abc: 4.974 4.974 4.974
angles: 60.00 60.00 60.00
Fractional coordinates of all 4 atoms:
1 Sc 0.250 0.250 0.250
2 Sc 0.750 0.750 0.750
3 Tc 0.000 0.000 0.000
4 La 0.500 0.500 0.500



Of them, <x> has the highest stability.